(1)
VCr5Ir6 | PBE | optimized geometry

a = 7.0784 Å, b = 7.0784 Å, c = 7.0784 Å
α = 148.84°, β = 116.96°, γ = 71.99°
With the nearest neighbours (Å) after each atom.
Fractional coordinates of all 12 atoms:
V1 0.0000 0.0000 0.0000  8 Ir 2.65-2.66, 4 Cr 2.74
Cr1 0.1727 0.6727 0.5000  8 Ir 2.61-2.71, 2 Cr 2.62, 2 V 2.74
Cr2 0.3303 0.3303 0.0000  4 Cr 2.62-2.72, 8 Ir 2.63-2.68
Cr3 0.5000 0.0000 0.5000  8 Ir 2.65-2.66, 4 Cr 2.72
Cr4 0.6697 0.6697 0.0000  4 Cr 2.62-2.72, 8 Ir 2.63-2.68
Cr5 0.8273 0.3273 0.5000  8 Ir 2.61-2.71, 2 Cr 2.62, 2 V 2.74
Ir1 0.0825 0.8329 0.2496  7 Cr 2.61-2.66, 1 V 2.66, 4 Ir 2.69-2.70
Ir2 0.2498 0.5000 0.7498  2 V 2.65, 6 Cr 2.65-2.71, 4 Ir 2.70
Ir3 0.4168 0.1671 0.2496  7 Cr 2.61-2.66, 1 V 2.66, 4 Ir 2.69-2.70
Ir4 0.5833 0.8329 0.7504  7 Cr 2.61-2.66, 1 V 2.66, 4 Ir 2.69-2.70
Ir5 0.7502 0.5000 0.2502  2 V 2.65, 6 Cr 2.65-2.71, 4 Ir 2.70
Ir6 0.9175 0.1671 0.7504  7 Cr 2.61-2.66, 1 V 2.66, 4 Ir 2.69-2.70

## Properties
VASP energy = -9.447 eV per atom
Space group = Immm, No. 71



(2)
LiTiSn3 | PBE | optimized geometry

a = 4.8935 Å, b = 4.8935 Å, c = 4.8935 Å
α = 90.00°, β = 90.00°, γ = 90.00°
With the nearest neighbours (Å) after each atom.
Fractional coordinates of all 5 atoms:
Li1 0.0000 0.0000 0.0000  6 Sn 2.45
Ti1 0.5000 0.5000 0.5000  12 Sn 3.46
Sn1 0.0000 0.0000 0.5000  2 Li 2.45
Sn2 0.0000 0.5000 0.0000  2 Li 2.45
Sn3 0.5000 0.0000 0.0000  2 Li 2.45

## Properties
VASP energy = -3.868 eV per atom
Energy above the lowest structure with this stoichiometry = 211 kJ/mol of formula units
Space group = Pm-3m, No. 221



(3)
Tb2Dy2Y15 | PBE | optimized geometry

a = 8.7742 Å, b = 8.7742 Å, c = 8.7742 Å
α = 79.19°, β = 79.19°, γ = 79.19°
With the nearest neighbours (Å) after each atom.
Fractional coordinates of all 19 atoms:
Tb1 0.0956 0.0956 0.0956  1 Tb 3.41, 9 Y 3.47-3.76
Tb2 0.9044 0.9044 0.9044  1 Tb 3.41, 9 Y 3.47-3.76
Dy1 0.3202 0.3202 0.3202  15 Y 3.94-4.23, 1 Tb 4.00
Dy2 0.6798 0.6798 0.6798  15 Y 3.94-4.23, 1 Tb 4.00
Y1 0.0000 0.0000 0.5000  8 Y 3.35-3.43, 2 Tb 3.47
Y2 0.0000 0.2998 0.7002  6 Y 3.29-3.43
Y3 0.0000 0.5000 0.0000  8 Y 3.35-3.43, 2 Tb 3.47
Y4 0.0000 0.7002 0.2998  6 Y 3.29-3.43
Y5 0.1498 0.6279 0.6279  6 Y 3.28-3.35
Y6 0.2998 0.0000 0.7002  6 Y 3.29-3.43
Y7 0.2998 0.7002 0.0000  6 Y 3.29-3.43
Y8 0.3721 0.3721 0.8502  6 Y 3.28-3.35
Y9 0.3721 0.8502 0.3721  6 Y 3.28-3.35
Y10 0.5000 0.0000 0.0000  8 Y 3.35-3.43, 2 Tb 3.47
Y11 0.6279 0.1498 0.6279  6 Y 3.28-3.35
Y12 0.6279 0.6279 0.1498  6 Y 3.28-3.35
Y13 0.7002 0.0000 0.2998  6 Y 3.29-3.43
Y14 0.7002 0.2998 0.0000  6 Y 3.29-3.43
Y15 0.8502 0.3721 0.3721  6 Y 3.28-3.35

## Properties
VASP energy = -5.773 eV per atom
Space group = R-3m, No. 166



(4)
AlCl | PBE | optimized geometry

a = 4.0846 Å, b = 4.0846 Å, c = 11.6829 Å
α = 90.00°, β = 90.00°, γ = 90.00°
With the nearest neighbours (Å) after each atom.
Fractional coordinates of all 8 atoms:
Al1 0.0000 0.2500 0.3750  4 Cl 2.89
Al2 0.0000 0.7500 0.6250  4 Cl 2.89
Al3 0.5000 0.2500 0.1250  4 Cl 2.89
Al4 0.5000 0.7500 0.8750  4 Cl 2.89
Cl1 0.0000 0.2500 0.8750  4 Al 2.89
Cl2 0.0000 0.7500 0.1250  4 Al 2.89
Cl3 0.5000 0.2500 0.6250  4 Al 2.89
Cl4 0.5000 0.7500 0.3750  4 Al 2.89

## Properties
VASP energy = -3.021 eV per atom
Formation energy (no corrections) = -227 meV/atom
Space group = I4_1/amd, No. 141